The following is a DFT calculation (PBE+U) of an optimized crystal structure of FePO3.

Values from the calculation:
N(E_F) = 2.114 states/eV per cell
E = -5.36 eV/atom
Total moment = 4.90 μB/cell

Geometry as CIF:
```
data_FePO3
_space_group_name_H-M_alt 'P m -3 m'
_space_group_IT_number 221
_space_group_name_Hall '-P 4 2 3'
_cell_length_a 3.769
_cell_length_b 3.769
_cell_length_c 3.769
_cell_angle_alpha 90.00
_cell_angle_beta 90.00
_cell_angle_gamma 90.00
loop_
_atom_site_label
_atom_site_type_symbol
_atom_site_fract_x
_atom_site_fract_y
_atom_site_fract_z
_atom_site_occupancy
Fe1 Fe 0.000 0.000 0.000 1
P1 P 0.500 0.500 0.500 1
O1 O 0.000 0.000 0.500 1
```